(1)
# TbHoZn

An optimized crystal structure of TbHoZn (PBE-GGA, Alexandria via LeMat-Bulk).

Calculated values
- ΔH_f (0 K): 0.024 eV/atom
- Raw total energy: -3.47 eV per atom
- Spin magnetization: 0.0 μB/cell
- Distance to the lowest polymorph of the same formula: 5.45 kcal/mol of atoms

a b c (Å): 4.944 4.944 6.982
angles (deg): 90.00 90.00 90.00
Sites, in units of the cell vectors:
Tb1 0.000 0.000 0.000
Tb2 0.500 0.500 0.500
Ho1 0.000 0.000 0.500
Ho2 0.500 0.500 0.000
Zn1 0.000 0.500 0.250
Zn2 0.500 0.000 0.750

---

(2)
# Mg3HgSe4

An optimized crystal structure of Mg3HgSe4 (PBE-GGA, Alexandria via LeMat-Bulk).

Calculated values
- Raw total energy: -3.37 eV per atom
- ΔE_f (raw): -95.4 kJ/mol of atoms
- Spin magnetization: 0.0 μB/cell

a b c (Å): 8.569 7.435 6.992
angles (deg): 90.00 90.00 90.00
Sites, in units of the cell vectors:
Mg1 0.000 0.167 0.000
Mg2 0.250 0.334 0.501
Mg3 0.250 0.666 0.001
Mg4 0.500 0.833 0.500
Mg5 0.750 0.334 0.501
Mg6 0.750 0.666 0.001
Hg1 0.000 0.833 0.499
Hg2 0.500 0.167 0.999
Se1 0.000 0.178 0.629
Se2 0.000 0.834 0.110
Se3 0.242 0.338 0.129
Se4 0.258 0.662 0.629
Se5 0.500 0.166 0.610
Se6 0.500 0.822 0.129
Se7 0.742 0.662 0.629
Se8 0.758 0.338 0.129

---

(3)
# Mg2TeBr2

An optimized crystal structure of Mg2TeBr2 (PBE-GGA, Alexandria via LeMat-Bulk).

Calculated values
- Raw total energy: -2.58 eV per atom
- ΔE_f (raw): -62.3 kJ/mol of atoms
- Spin magnetization: 0.0 μB/cell
- Distance to the lowest polymorph of the same formula: 12.48 kcal/mol of atoms

a b c (Å): 4.999 4.999 10.619
angles (deg): 90.00 90.00 90.00
Sites, in units of the cell vectors:
Mg1 0.000 0.500 0.250
Mg2 0.000 0.500 0.750
Mg3 0.500 0.000 0.250
Mg4 0.500 0.000 0.750
Te1 0.000 0.000 0.000
Te2 0.500 0.500 0.500
Br1 0.000 0.000 0.346
Br2 0.000 0.000 0.654
Br3 0.500 0.500 0.154
Br4 0.500 0.500 0.846

---

(4)
# Zr2BPb

An optimized crystal structure of Zr2BPb (PBE-GGA, Alexandria via LeMat-Bulk).

Calculated values
- ΔH_f (0 K): -0.491 eV/atom
- Raw total energy: -7.36 eV per atom
- Spin magnetization: 0.0 μB/cell
- Distance to the lowest polymorph of the same formula: 0.00 kcal/mol of atoms

a b c (Å): 3.505 3.505 22.829
angles (deg): 90.00 90.00 120.00
Sites, in units of the cell vectors:
Zr1 0.000 0.000 0.223
Zr2 0.000 0.000 0.777
Zr3 0.333 0.667 0.444
Zr4 0.333 0.667 0.889
Zr5 0.667 0.333 0.111
Zr6 0.667 0.333 0.556
B1 0.000 0.000 0.500
B2 0.333 0.667 0.167
B3 0.667 0.333 0.833
Pb1 0.000 0.000 0.000
Pb2 0.333 0.667 0.667
Pb3 0.667 0.333 0.333

---

(5)
# La4CoOs

An optimized crystal structure of La4CoOs (PBE-GGA, Alexandria via LeMat-Bulk).

Calculated values
- ΔH_f (0 K): -0.123 eV/atom
- Raw total energy: -6.46 eV per atom
- Spin magnetization: 0.0 μB/cell
- Distance to the lowest polymorph of the same formula: 0.00 kcal/mol of atoms

a b c (Å): 7.960 6.643 7.982
angles (deg): 90.00 115.70 90.00
Sites, in units of the cell vectors:
La1 0.160 0.219 0.329
La2 0.160 0.281 0.829
La3 0.333 0.715 0.656
La4 0.333 0.785 0.156
La5 0.667 0.215 0.844
La6 0.667 0.285 0.344
La7 0.840 0.719 0.171
La8 0.840 0.781 0.671
Co1 0.000 0.000 0.000
Co2 0.000 0.500 0.500
Os1 0.500 0.000 0.500
Os2 0.500 0.500 0.000

---

(6)
# ZrTaOsRu

An optimized crystal structure of ZrTaOsRu (PBE-GGA, Alexandria via LeMat-Bulk).

Calculated values
- ΔH_f (0 K): -0.435 eV/atom
- Raw total energy: -10.66 eV per atom
- Spin magnetization: 0.0 μB/cell

a b c (Å): 3.160 3.160 6.776
angles (deg): 90.00 90.00 90.00
Sites, in units of the cell vectors:
Zr1 0.000 0.000 0.000
Ta1 0.000 0.000 0.499
Os1 0.500 0.500 0.733
Ru1 0.500 0.500 0.267